Below is a geometry-optimized LaPmEuZn structure, with properties calculated at the PBE level.

## Properties
Energy   -84.4 eV/cell
Energy of formation from the pure elements   0.0339 eV/atom

Lattice parameters (Å, degrees): 7.843 7.843 7.843 90.00 90.00 90.00
Space group F-43m (No. 216)
Unique sites:
La: 0.000 0.000 0.000 [4 per cell]
Pm: 0.000 0.000 0.500 [4 per cell]
Eu: 0.250 0.250 0.750 [4 per cell]
Zn: 0.250 0.250 0.250 [4 per cell]